No. 1
3
Lattice="-0.732 -2.822 -2.954 4.069 -0.232 -0.786 -1.007 -3.907 6.899" Properties=species:S:1:pos:R:3 comment="Ba2Hg, single point on PBEsol structure, DFT meta-GGA SCAN" mass_density_g_cm3=6.16 e_form_ev_per_fu=-1.50 pbc="T T T"
Ba 0.490 -4.024 3.723
Ba 1.840 -2.938 -0.564
Hg 0.000 0.000 0.000

No. 2
3
Lattice="-1.713 -3.130 1.718 4.276 -2.752 -0.749 -0.592 2.702 4.332" Properties=species:S:1:pos:R:3 comment="BaHg2, single point on PBEsol structure, DFT meta-GGA SCAN" mass_density_g_cm3=9.87 e_form_ev_per_fu=-1.94 pbc="T T T"
Ba 0.000 0.000 0.000
Hg 1.797 -2.499 1.804
Hg 0.174 -0.681 3.498

No. 3
6
Lattice="4.589 0.000 0.000 0.000 4.589 0.000 -2.294 -2.294 9.191" Properties=species:S:1:pos:R:3 comment="BaHg2, single point on PBEsol structure, DFT meta-GGA SCAN" mass_density_g_cm3=9.24 e_form_ev_per_fu=-1.84 pbc="T T T"
Hg 0.000 2.294 3.128
Hg 0.000 2.294 6.063
Hg 0.000 0.000 1.468
Hg 2.294 2.294 7.723
Ba 2.294 0.000 4.595
Ba 2.294 2.294 0.000

No. 4
4
Lattice="-0.917 4.249 -0.006 -4.221 -0.915 -3.187 -3.137 -2.893 4.985" Properties=species:S:1:pos:R:3 comment="BaHg, single point on PBEsol structure, DFT meta-GGA SCAN" mass_density_g_cm3=7.77 e_form_ev_per_fu=-1.29 pbc="T T T"
Hg -6.659 0.789 1.813
Hg -1.616 -0.349 -0.020
Ba -4.615 1.226 -1.020
Ba -3.659 -0.786 2.812

No. 5
6
Lattice="-0.871 -0.082 -6.029 -4.147 -3.744 -2.428 -5.135 2.267 -2.367" Properties=species:S:1:pos:R:3 comment="BaHg5, single point on PBEsol structure, DFT meta-GGA SCAN" mass_density_g_cm3=11.84 e_form_ev_per_fu=-2.14 pbc="T T T"
Hg -6.338 -0.974 -6.756
Hg -3.786 -2.100 -5.580
Hg -4.277 0.887 -5.550
Hg -5.905 -0.933 -3.761
Hg -2.538 -0.390 -2.706
Ba 0.000 0.000 0.000

No. 6
6
Lattice="4.175 0.000 0.000 0.000 6.085 0.000 -2.087 0.000 9.828" Properties=species:S:1:pos:R:3 comment="Ba2Hg, single point on PBEsol structure, DFT meta-GGA SCAN" mass_density_g_cm3=6.32 e_form_ev_per_fu=-1.26 pbc="T T T"
Ba 2.087 4.564 4.140
Ba 0.000 4.564 8.421
Ba 0.000 1.521 5.688
Ba 2.087 1.521 1.407
Hg 2.087 1.521 8.379
Hg 0.000 4.564 1.448

no.,raw total energy (Ry per atom),volume (Å³ per cell)
1,-3.6447,128.1
2,-4.3566,90.6
3,-4.3540,193.5
4,-4.0057,144.5
5,-4.6858,159.9
6,-3.6389,249.7